Pa8SiTc6 | GGA-PBE | relaxed

Geometry as POSCAR:
```
Pa8SiTc6
1.0
4.398 2.539 4.801
-4.398 2.539 4.801
0.000 -5.079 4.801
Pa Si Tc
8 1 6
Cartesian
-1.094 -2.090 5.759
0.000 0.000 3.398
-2.357 -0.097 8.643
-1.262 1.993 5.759
1.262 -1.993 8.643
2.357 0.097 5.759
0.000 0.000 11.004
1.094 2.090 8.643
0.000 0.000 7.201
-3.840 0.875 6.134
-2.678 -2.889 8.268
1.163 -3.763 6.134
-1.163 3.763 8.268
2.678 2.889 6.134
3.840 -0.875 8.268
```

## Properties
Crystal system: trigonal
Formation energy without anion corrections, kJ/mol of formula units: -112
Space-group type: R-3, No. 148
Theoretical density, g/cm3: 12.721
Total magnetic moment, μB per cell: 0.00

CuPd3O8 | GGA-PBE | relaxed

Geometry as POSCAR:
```
CuPd3O8
1.0
5.050 -3.070 0.000
5.050 3.070 0.000
-3.251 0.000 5.002
Cu Pd O
1 3 8
Cartesian
0.000 0.000 0.000
0.899 1.535 2.501
0.899 -1.535 2.501
5.050 0.000 0.000
1.492 0.000 1.312
2.408 1.562 3.859
4.441 1.562 1.143
0.259 0.000 3.673
6.591 0.000 1.329
2.408 -1.562 3.859
4.441 -1.562 1.143
5.358 0.000 3.690
```

## Properties
Crystal system: monoclinic
Formation energy without anion corrections, kJ/mol of formula units: -298
Space-group type: C2/m, No. 12
Theoretical density, g/cm3: 5.469
Total magnetic moment, μB per cell: 1.01

Nd2PuHgO8 | GGA-PBE | relaxed

Geometry as POSCAR:
```
Nd2PuHgO8
1.0
4.391 0.000 0.000
-0.540 5.311 0.000
-0.005 -0.004 7.868
Nd Pu Hg O
2 1 1 8
Cartesian
0.003 0.002 1.935
3.842 5.305 5.933
1.923 2.653 3.934
1.925 2.655 0.000
0.303 1.463 3.936
0.584 1.138 7.867
1.406 3.884 2.461
1.408 3.890 5.408
2.437 1.417 2.460
2.440 1.423 5.408
3.261 4.168 0.002
3.542 3.843 3.933
```

## Properties
Crystal system: triclinic
Formation energy without anion corrections, kJ/mol of formula units: -2635
Space-group type: P-1, No. 2
Theoretical density, g/cm3: 7.793
Total magnetic moment, μB per cell: 0.00

AcPmPr2Dy4 | GGA-PBE | relaxed

Geometry as POSCAR:
```
AcPmPr2Dy4
1.0
6.956 -6.753 0.000
6.956 6.753 0.000
-3.475 0.000 6.023
Ac Pm Pr Dy
2 2 4 8
Cartesian
3.478 3.376 0.000
1.740 -3.376 3.011
0.000 0.000 0.000
-1.737 0.000 3.011
1.740 3.376 3.011
3.478 -3.376 0.000
6.956 0.000 0.000
5.218 0.000 3.011
1.713 0.104 3.006
5.174 3.404 3.087
3.525 3.404 5.947
-0.024 -0.104 6.017
10.461 0.104 0.006
6.912 -3.404 0.076
5.262 -3.404 2.935
8.723 -0.104 3.017
```

## Properties
Crystal system: monoclinic
E, hartree per atom: -0.1541
Space-group type: C2/c, No. 15
Theoretical density, g/cm3: 7.654
Total magnetic moment, μB per cell: 0.08

ScTlSe3 | GGA-PBE | relaxed

Geometry as POSCAR:
```
ScTlSe3
1.0
5.252 0.000 0.000
0.000 5.252 0.000
0.000 0.000 5.252
Sc Tl Se
1 1 3
Cartesian
0.000 0.000 0.000
2.626 2.626 2.626
0.000 0.000 2.626
0.000 2.626 0.000
2.626 0.000 0.000
```

## Properties
Crystal system: cubic
Energy above the most stable polymorph in this dataset, meV/atom: 0.0
Formation energy without anion corrections, kJ/mol of formula units: -330
Space-group type: Pm-3m, No. 221
Theoretical density, g/cm3: 5.573
Total magnetic moment, μB per cell: 0.01

TaMoAs3 | GGA-PBE | relaxed

Geometry as POSCAR:
```
TaMoAs3
1.0
4.833 0.000 0.000
0.000 4.833 0.000
0.000 0.000 4.833
Ta Mo As
1 1 3
Cartesian
0.000 0.000 0.000
2.417 2.417 2.417
0.000 2.417 2.417
2.417 0.000 2.417
2.417 2.417 0.000
```

## Properties
Crystal system: cubic
Energy above the most stable polymorph in this dataset, meV/atom: 172.2
Space-group type: Pm-3m, No. 221
Theoretical density, g/cm3: 7.378
Total magnetic moment, μB per cell: 2.80

CuAg2SbAu | GGA-PBE | relaxed

Geometry as POSCAR:
```
CuAg2SbAu
1.0
5.128 0.000 0.000
0.000 5.128 0.000
0.000 0.000 4.765
Cu Ag Sb Au
1 2 1 1
Cartesian
0.000 0.000 0.000
0.000 2.564 2.382
2.564 0.000 2.382
2.564 2.564 0.000
0.000 0.000 2.382
```

## Properties
Crystal system: tetragonal
Formation energy without anion corrections, kJ/mol of formula units: 316
Space-group type: P4/mmm, No. 123
Theoretical density, g/cm3: 7.925
Total magnetic moment, μB per cell: 0.00

YLuZnTc | GGA-PBE | relaxed

Geometry as POSCAR:
```
YLuZnTc
1.0
0.000 3.455 3.455
3.455 0.000 3.455
3.455 3.455 0.000
Y Lu Zn Tc
1 1 1 1
Cartesian
0.000 0.000 0.000
3.455 3.455 3.455
1.728 1.728 1.728
5.183 5.183 5.183
```

## Properties
Crystal system: cubic
E, hartree per atom: -0.2139
Space-group type: F-43m, No. 216
Theoretical density, g/cm3: 8.602
Total magnetic moment, μB per cell: 0.00

ScSn2As2 | GGA-PBE | relaxed

Geometry as POSCAR:
```
ScSn2As2
1.0
7.280 0.000 0.000
0.000 7.280 0.000
0.000 0.000 4.407
Sc Sn As
2 4 4
Cartesian
0.000 0.000 0.000
3.640 3.640 0.000
1.167 2.473 2.204
2.473 6.114 2.204
4.807 1.167 2.204
6.114 4.807 2.204
1.145 4.785 0.000
2.495 1.145 0.000
4.785 6.136 0.000
6.136 2.495 0.000
```

## Properties
Crystal system: tetragonal
E, hartree per atom: -0.1847
Space-group type: P4/mbm, No. 127
Theoretical density, g/cm3: 6.145
Total magnetic moment, μB per cell: 0.00

KCaRu | GGA-PBE | relaxed

Geometry as POSCAR:
```
KCaRu
1.0
0.000 3.660 3.660
3.660 0.000 3.660
3.660 3.660 0.000
K Ca Ru
1 1 1
Cartesian
0.000 0.000 0.000
3.660 3.660 3.660
5.490 5.490 5.490
```

## Properties
Crystal system: cubic
Energy above the most stable polymorph in this dataset, meV/atom: 376.9
Space-group type: F-43m, No. 216
Theoretical density, g/cm3: 3.052
Total magnetic moment, μB per cell: 1.00

TaPd2Ru | GGA-PBE | relaxed

Geometry as POSCAR:
```
TaPd2Ru
1.0
0.000 3.158 3.158
3.158 0.000 3.158
3.158 3.158 0.000
Ta Pd Ru
1 2 1
Cartesian
0.000 0.000 0.000
1.579 1.579 1.579
4.736 4.736 4.736
3.158 3.158 3.158
```

## Properties
Crystal system: cubic
Energy above the most stable polymorph in this dataset, meV/atom: 423.6
Space-group type: Fm-3m, No. 225
Theoretical density, g/cm3: 13.052
Total magnetic moment, μB per cell: 0.00

TbDyEr2S4 | GGA-PBE | relaxed

Geometry as POSCAR:
```
TbDyEr2S4
1.0
6.751 0.000 0.000
0.000 3.855 0.000
-2.208 0.000 6.395
Tb Dy Er S
1 1 2 4
Cartesian
0.000 0.000 0.000
3.376 1.928 0.000
-1.104 1.928 3.197
2.271 0.000 3.197
0.037 0.000 4.766
1.142 1.928 1.634
3.400 1.928 4.761
4.505 0.000 1.629
```

## Properties
Crystal system: monoclinic
Formation energy without anion corrections, kJ/mol of formula units: -1526
Space-group type: P2/m, No. 10
Theoretical density, g/cm3: 7.824
Total magnetic moment, μB per cell: 0.00

PaAl4Bi | GGA-PBE | relaxed

Geometry as POSCAR:
```
PaAl4Bi
1.0
0.000 3.948 3.948
3.948 0.000 3.948
3.948 3.948 0.000
Pa Al Bi
1 4 1
Cartesian
0.000 0.000 0.000
4.943 2.953 2.953
2.953 4.943 2.953
2.953 2.953 4.943
4.943 4.943 4.943
1.974 1.974 1.974
```

## Properties
Crystal system: cubic
E, hartree per atom: -0.1749
Space-group type: F-43m, No. 216
Theoretical density, g/cm3: 7.391
Total magnetic moment, μB per cell: 0.00

Li2Y3Cd4 | GGA-PBE | relaxed

Geometry as POSCAR:
```
Li2Y3Cd4
1.0
5.434 -2.490 0.000
5.434 2.490 0.000
-4.809 0.000 7.915
Li Y Cd
2 3 4
Cartesian
-0.110 0.000 2.242
6.168 0.000 5.674
-1.420 0.000 5.291
5.434 0.000 0.000
7.478 0.000 2.624
2.081 0.000 0.475
1.818 0.000 4.831
4.240 0.000 3.085
3.977 0.000 7.440
```

## Properties
Crystal system: monoclinic
E, hartree per atom: -0.1184
Space-group type: C2/m, No. 12
Theoretical density, g/cm3: 5.662
Total magnetic moment, μB per cell: 0.00

Ca4GeAu3 | GGA-PBE | relaxed

Geometry as POSCAR:
```
Ca4GeAu3
1.0
-2.594 2.594 7.192
2.594 -2.594 7.192
2.594 2.594 -7.192
Ca Ge Au
4 1 3
Cartesian
2.594 0.000 1.767
2.594 0.000 5.424
0.000 2.594 1.767
0.000 2.594 5.424
0.000 0.000 0.000
0.000 0.000 3.587
0.000 0.000 7.192
0.000 0.000 10.797
```

## Properties
Crystal system: tetragonal
Energy above the most stable polymorph in this dataset, meV/atom: 0.0
Space-group type: I4/mmm, No. 139
Theoretical density, g/cm3: 7.070
Total magnetic moment, μB per cell: 0.00

NdPu2Pd9 | GGA-PBE | relaxed

Geometry as POSCAR:
```
NdPu2Pd9
1.0
4.162 0.000 0.000
0.000 4.162 0.000
0.000 0.000 12.490
Nd Pu Pd
1 2 9
Cartesian
0.000 0.000 0.000
0.000 0.000 4.181
0.000 0.000 8.309
0.000 2.081 2.149
0.000 2.081 6.245
0.000 2.081 10.341
2.081 0.000 2.149
2.081 0.000 6.245
2.081 0.000 10.341
2.081 2.081 0.000
2.081 2.081 4.184
2.081 2.081 8.305
```

## Properties
Crystal system: tetragonal
E, hartree per atom: -0.2688
Space-group type: P4/mmm, No. 123
Theoretical density, g/cm3: 12.202
Total magnetic moment, μB per cell: 8.69

CaAs3Br | GGA-PBE | relaxed

Geometry as POSCAR:
```
CaAs3Br
1.0
5.140 0.000 0.000
0.000 5.140 0.000
0.000 0.000 5.140
Ca As Br
1 3 1
Cartesian
0.000 0.000 0.000
0.000 2.570 2.570
2.570 0.000 2.570
2.570 2.570 0.000
2.570 2.570 2.570
```

## Properties
Crystal system: cubic
Energy above the most stable polymorph in this dataset, meV/atom: 0.0
Formation energy without anion corrections, kJ/mol of formula units: 222
Space-group type: Pm-3m, No. 221
Theoretical density, g/cm3: 4.216
Total magnetic moment, μB per cell: 0.00

TaCl5 | GGA-PBE | relaxed

Geometry as POSCAR:
```
TaCl5
1.0
7.426 -1.492 0.000
7.426 1.492 0.000
-6.925 0.000 8.545
Ta Cl
1 5
Cartesian
0.000 0.000 0.000
-3.463 0.000 4.272
-0.803 0.000 6.934
5.821 0.000 1.304
2.105 0.000 7.241
8.730 0.000 1.611
```

## Properties
Crystal system: monoclinic
Energy above the most stable polymorph in this dataset, meV/atom: 591.8
Formation energy without anion corrections, kJ/mol of formula units: -436
Space-group type: C2/m, No. 12
Theoretical density, g/cm3: 3.141
Total magnetic moment, μB per cell: 0.00

AcTb6Y2 | GGA-PBE | relaxed

Geometry as POSCAR:
```
AcTb6Y2
1.0
3.641 0.000 0.000
-1.821 3.153 0.000
0.000 0.000 26.632
Ac Tb Y
1 6 2
Cartesian
0.000 0.000 0.000
0.000 0.000 5.943
0.000 0.000 11.599
0.000 0.000 15.033
0.000 0.000 20.690
0.000 2.102 3.129
0.000 2.102 23.503
0.000 2.102 8.819
0.000 2.102 17.813
```

## Properties
Crystal system: hexagonal
Energy above the most stable polymorph in this dataset, meV/atom: 0.0
Space-group type: P-6m2, No. 187
Theoretical density, g/cm3: 7.377
Total magnetic moment, μB per cell: 0.04

NdSmErSc | GGA-PBE | relaxed

Geometry as POSCAR:
```
NdSmErSc
1.0
0.000 3.958 3.958
3.958 0.000 3.958
3.958 3.958 0.000
Nd Sm Er Sc
1 1 1 1
Cartesian
0.000 0.000 0.000
3.958 3.958 3.958
5.936 5.936 5.936
1.979 1.979 1.979
```

## Properties
Crystal system: cubic
E, hartree per atom: -0.1836
Space-group type: F-43m, No. 216
Theoretical density, g/cm3: 6.788
Total magnetic moment, μB per cell: 0.00